Record 1
## AcPm2NdS4 (PBE)

Data for crystalline AcPm2NdS4 at its relaxed geometry.

Summary:
- E_form (uncorrected) (eV/atom) = -2.01
- magnetic moment (μB per cell) = 0.000

a b c (Å): 4.079 7.159 7.134
angles (deg): 70.88 90.00 90.00
Element x y z (fractional)
Ac 0.500 0.500 0.000
Pm 0.000 0.000 0.000
Pm 0.500 0.000 0.500
Nd 0.000 0.500 0.500
S 0.000 0.763 0.739
S 0.000 0.237 0.261
S 0.500 0.758 0.253
S 0.500 0.242 0.747

Record 2
## Sr2YTcO6 (PBE)

Data for crystalline Sr2YTcO6 at its relaxed geometry.

Summary:
- E_form (uncorrected) (eV/atom) = -2.58
- magnetic moment (μB per cell) = 4.004

a b c (Å): 5.822 5.896 8.263
angles (deg): 90.00 90.34 90.00
Last column: magnetic moment on the atom in μB.
Element x y z (fractional)
Sr 0.009 0.963 0.250  0.01
Sr 0.509 0.537 0.750  0.01
Sr 0.991 0.037 0.750  0.01
Sr 0.491 0.463 0.250  0.01
Y 0.500 0.000 0.000  0.04
Y 0.000 0.500 0.500  0.04
Tc 0.500 0.000 0.500  1.52
Tc 0.000 0.500 0.000  1.52
O 0.271 0.698 0.039  0.04
O 0.771 0.802 0.539  0.04
O 0.729 0.302 0.961  0.04
O 0.229 0.198 0.461  0.04
O 0.304 0.728 0.458  0.03
O 0.804 0.772 0.958  0.03
O 0.696 0.272 0.542  0.03
O 0.196 0.228 0.042  0.03
O 0.925 0.521 0.234  0.03
O 0.425 0.979 0.734  0.03
O 0.075 0.479 0.766  0.03
O 0.575 0.021 0.266  0.03

Record 3
## Y2MgZn2 (PBE)

Data for crystalline Y2MgZn2 at its relaxed geometry.

Summary:
- E_form (meV/atom) = 15
- magnetic moment (μB per cell) = 0.000

a b c (Å): 3.770 3.770 9.217
angles (deg): 78.20 78.20 90.00
Element x y z (fractional)
Y 0.391 0.391 0.218
Y 0.609 0.609 0.782
Zn 0.750 0.250 0.500
Zn 0.250 0.750 0.500
Mg 0.000 0.000 0.000

Record 4
## Ti2AgAs2 (PBE)

Data for crystalline Ti2AgAs2 at its relaxed geometry.

Summary:
- E_form (meV/atom) = -333
- magnetic moment (μB per cell) = 0.000
- excess energy over the best structure of this formula in the dataset (meV/atom) = 190.8

a b c (Å): 4.364 4.364 5.974
angles (deg): 68.58 68.58 90.00
Element x y z (fractional)
As 0.376 0.376 0.248
As 0.624 0.624 0.752
Ag 0.000 0.000 0.000
Ti 0.750 0.250 0.500
Ti 0.250 0.750 0.500

Record 5
## Sr2LaTaC (PBE)

Data for crystalline Sr2LaTaC at its relaxed geometry.

Summary:
- E_form (meV/atom) = 909
- magnetic moment (μB per cell) = 4.572

a b c (Å): 5.584 4.832 5.584
angles (deg): 90.00 90.00 90.00
Last column: magnetic moment on the atom in μB.
Element x y z (fractional)
Sr 0.000 0.000 0.500  0.08
Sr 0.500 0.000 0.000  0.10
C 0.000 0.000 0.000  0.04
La 0.000 0.500 0.000  0.12
Ta 0.500 0.500 0.500  2.06

Record 6
## Zn2SiTe (PBE)

Data for crystalline Zn2SiTe at its relaxed geometry.

Summary:
- E_form (uncorrected) (eV/atom) = 0.14
- magnetic moment (μB per cell) = 0.000
- excess energy over the best structure of this formula in the dataset (meV/atom) = 68.1

a b c (Å): 3.026 4.068 7.330
angles (deg): 90.00 90.00 90.00
Element x y z (fractional)
Si 0.000 0.000 0.315
Te 0.500 0.500 0.789
Zn 0.000 0.000 0.988
Zn 0.500 0.500 0.408

Which of these has the highest magnetic moment? Sr2LaTaC